Computed, not measured: a relaxed structure of BaPtN2 at the GGA-PBE level of DFT.

## Properties
As for the total moment: 0.00 μB/cell. The calculation puts the total energy at -19.7 eV per cell. The calculation puts the energy relative to the elements, uncorrected at 1.231 eV per atom.

Lattice parameters (Å, degrees): 4.447 4.447 4.447 60.00 60.00 60.00
Fractional coordinates of all 4 atoms:
Ba (0.000, 0.000, 0.000)
N (0.250, 0.250, 0.250)
N (0.750, 0.750, 0.750)
Pt (0.500, 0.500, 0.500)